## RbLuSO (PBE-GGA)

Data for a relaxed RbLuSO crystal.

- offset from the most stable computed form (eV/atom) = 0.060
- raw total energy (eV/atom) = -5.880
- theoretical density (g/cm3) = 4.46
- space group = No. 26

abc: 4.2731 8.2365 6.5329
angles: 90.00 90.00 90.00
Fractional positions:
Rb 0.0000 0.1919 0.0000
Rb 0.0000 0.8081 0.5000
Lu 0.5000 0.3791 0.4375
Lu 0.5000 0.6209 0.9375
S 0.0000 0.2102 0.5071
S 0.0000 0.7898 0.0071
O 0.5000 0.4225 0.1268
O 0.5000 0.5775 0.6268

## RbLuSO (PBE-GGA)

Data for a relaxed RbLuSO crystal.

- offset from the most stable computed form (eV/atom) = 0.228
- raw total energy (eV/atom) = -5.712
- theoretical density (g/cm3) = 4.96
- space group = No. 29

abc: 8.3217 9.1574 5.4179
angles: 90.00 90.00 90.00
Fractional positions:
Rb 0.1197 0.0999 0.0000
Rb 0.3803 0.0999 0.5000
Rb 0.6197 0.9001 0.0000
Rb 0.8803 0.9001 0.5000
Lu 0.0709 0.6371 0.0027
Lu 0.4291 0.6371 0.5027
Lu 0.5709 0.3629 0.0027
Lu 0.9291 0.3629 0.5027
S 0.1058 0.6060 0.5029
S 0.3942 0.6060 0.0029
S 0.6058 0.3940 0.5029
S 0.8942 0.3940 0.0029
O 0.0340 0.1743 0.5003
O 0.4660 0.1743 0.0003
O 0.5340 0.8257 0.5003
O 0.9660 0.8257 0.0003

## RbLuSO (PBE-GGA)

Data for a relaxed RbLuSO crystal.

- offset from the most stable computed form (eV/atom) = 0.000
- raw total energy (eV/atom) = -5.940
- theoretical density (g/cm3) = 5.93
- space group = No. 14

abc: 7.7759 7.1680 6.3485
angles: 90.00 102.37 90.00
Fractional positions:
Rb 0.0808 0.2336 0.0022
Rb 0.0808 0.2664 0.5022
Rb 0.9192 0.7336 0.4978
Rb 0.9192 0.7664 0.9978
Lu 0.4791 0.6266 0.2746
Lu 0.4791 0.8734 0.7746
Lu 0.5209 0.1266 0.2254
Lu 0.5209 0.3734 0.7254
S 0.2661 0.5952 0.8594
S 0.2661 0.9048 0.3594
S 0.7339 0.0952 0.6406
S 0.7339 0.4048 0.1406
O 0.3994 0.1452 0.8810
O 0.3994 0.3548 0.3810
O 0.6006 0.6452 0.6190
O 0.6006 0.8548 0.1190

## RbLuSO (PBE-GGA)

Data for a relaxed RbLuSO crystal.

- offset from the most stable computed form (eV/atom) = 0.039
- raw total energy (eV/atom) = -5.900
- theoretical density (g/cm3) = 5.71
- space group = No. 5

abc: 3.9617 3.9617 11.7655
angles: 99.48 99.48 90.00
Fractional positions:
Rb 0.1859 0.1859 0.3866
Rb 0.8141 0.8141 0.6134
Lu 0.5450 0.0395 0.0874
Lu 0.9605 0.4550 0.9126
S 0.3754 0.3765 0.7369
S 0.6235 0.6246 0.2631
O 0.0031 0.9969 0.0000
O 0.5034 0.4966 0.0000

## RbLuSeO (PBE-GGA)

Data for a relaxed RbLuSeO crystal.

- offset from the most stable computed form (eV/atom) = 0.019
- raw total energy (eV/atom) = -5.701
- theoretical density (g/cm3) = 6.15
- space group = No. 5

abc: 4.0374 4.0374 12.0941
angles: 99.39 99.39 90.00
Fractional positions:
Rb 0.1827 0.1827 0.3875
Rb 0.8173 0.8173 0.6125
Lu 0.5456 0.0327 0.0816
Lu 0.9673 0.4544 0.9184
Se 0.3804 0.3810 0.7391
Se 0.6190 0.6196 0.2609
O 0.0070 0.9930 0.0000
O 0.5077 0.4923 0.0000

## RbLuSeO (PBE-GGA)

Data for a relaxed RbLuSeO crystal.

- offset from the most stable computed form (eV/atom) = 0.360
- raw total energy (eV/atom) = -5.360
- theoretical density (g/cm3) = 6.76
- space group = No. 129

abc: 4.1653 4.1653 10.0667
angles: 90.00 90.00 90.00
Fractional positions:
Rb 0.2500 0.7500 0.0000
Rb 0.7500 0.2500 0.0000
Lu 0.2500 0.2500 0.4150
Lu 0.7500 0.7500 0.5850
Se 0.2500 0.2500 0.7574
Se 0.7500 0.7500 0.2426
O 0.2500 0.7500 0.5000
O 0.7500 0.2500 0.5000

## RbLuSeO (PBE-GGA)

Data for a relaxed RbLuSeO crystal.

- offset from the most stable computed form (eV/atom) = 0.060
- raw total energy (eV/atom) = -5.660
- theoretical density (g/cm3) = 4.73
- space group = No. 26

abc: 4.4428 8.4240 6.6644
angles: 90.00 90.00 90.00
Fractional positions:
Rb 0.0000 0.1992 0.0000
Rb 0.0000 0.8008 0.5000
Lu 0.5000 0.3861 0.4298
Lu 0.5000 0.6139 0.9298
Se 0.0000 0.2096 0.5043
Se 0.0000 0.7904 0.0043
O 0.5000 0.4267 0.1253
O 0.5000 0.5733 0.6253

## RbLuSeO (PBE-GGA)

Data for a relaxed RbLuSeO crystal.

- offset from the most stable computed form (eV/atom) = 0.000
- raw total energy (eV/atom) = -5.720
- theoretical density (g/cm3) = 6.32
- space group = No. 14

abc: 8.0634 7.2847 6.4447
angles: 90.00 99.29 90.00
Fractional positions:
Rb 0.0912 0.2074 0.4769
Rb 0.0912 0.2926 0.9769
Rb 0.9088 0.7074 0.0231
Rb 0.9088 0.7926 0.5231
Lu 0.4791 0.6273 0.7809
Lu 0.4791 0.8727 0.2809
Lu 0.5209 0.1273 0.7191
Lu 0.5209 0.3727 0.2191
Se 0.2556 0.5939 0.3742
Se 0.2556 0.9061 0.8742
Se 0.7444 0.0939 0.1258
Se 0.7444 0.4061 0.6258
O 0.4141 0.1473 0.3873
O 0.4141 0.3527 0.8873
O 0.5859 0.6473 0.1127
O 0.5859 0.8527 0.6127

## RbLuTeO (PBE-GGA)

Data for a relaxed RbLuTeO crystal.

- offset from the most stable computed form (eV/atom) = 0.000
- raw total energy (eV/atom) = -5.542
- theoretical density (g/cm3) = 6.08
- space group = No. 14

abc: 9.4271 7.2540 6.5612
angles: 90.00 100.43 90.00
Fractional positions:
Rb 0.1344 0.0859 0.3289
Rb 0.1344 0.4141 0.8289
Rb 0.8656 0.5859 0.1711
Rb 0.8656 0.9141 0.6711
Lu 0.4932 0.6351 0.7933
Lu 0.4932 0.8649 0.2933
Lu 0.5068 0.1351 0.7067
Lu 0.5068 0.3649 0.2067
Te 0.2591 0.5770 0.3677
Te 0.2591 0.9230 0.8677
Te 0.7409 0.0770 0.1323
Te 0.7409 0.4230 0.6323
O 0.4341 0.1415 0.3815
O 0.4341 0.3585 0.8815
O 0.5659 0.6415 0.1185
O 0.5659 0.8585 0.6185

## RbLuTeO (PBE-GGA)

Data for a relaxed RbLuTeO crystal.

- offset from the most stable computed form (eV/atom) = 0.398
- raw total energy (eV/atom) = -5.144
- theoretical density (g/cm3) = 6.90
- space group = No. 129

abc: 4.2626 4.2626 10.6977
angles: 90.00 90.00 90.00
Fractional positions:
Rb 0.2500 0.7500 0.0000
Rb 0.7500 0.2500 0.0000
Lu 0.2500 0.2500 0.4250
Lu 0.7500 0.7500 0.5750
Te 0.2500 0.2500 0.7519
Te 0.7500 0.7500 0.2481
O 0.2500 0.7500 0.5000
O 0.7500 0.2500 0.5000

## RbLuTeO (PBE-GGA)

Data for a relaxed RbLuTeO crystal.

- offset from the most stable computed form (eV/atom) = 0.157
- raw total energy (eV/atom) = -5.384
- theoretical density (g/cm3) = 4.76
- space group = No. 26

abc: 4.7346 8.6343 6.9014
angles: 90.00 90.00 90.00
Fractional positions:
Rb 0.0000 0.2143 0.0000
Rb 0.0000 0.7857 0.5000
Lu 0.5000 0.3979 0.4075
Lu 0.5000 0.6021 0.9075
Te 0.0000 0.2103 0.5030
Te 0.0000 0.7897 0.0030
O 0.5000 0.4282 0.1101
O 0.5000 0.5718 0.6101

## LuRe2O4 (PBE-GGA)

Data for a relaxed LuRe2O4 crystal.

- raw total energy (eV/atom) = -8.187
- theoretical density (g/cm3) = 11.67
- space group = No. 227

abc: 6.2666 6.2666 6.2666
angles: 60.00 60.00 60.00
Fractional positions:
Lu 0.1250 0.1250 0.1250
Lu 0.8750 0.8750 0.8750
Re 0.0000 0.5000 0.5000
Re 0.5000 0.0000 0.5000
Re 0.5000 0.5000 0.0000
Re 0.5000 0.5000 0.5000
O 0.2585 0.2585 0.2585
O 0.2585 0.2585 0.7245
O 0.2585 0.7245 0.2585
O 0.2755 0.7415 0.7415
O 0.7245 0.2585 0.2585
O 0.7415 0.2755 0.7415
O 0.7415 0.7415 0.2755
O 0.7415 0.7415 0.7415

## Sr2LuReO6 (PBE-GGA)

Data for a relaxed Sr2LuReO6 crystal.

- offset from the most stable computed form (eV/atom) = 0.000
- raw total energy (eV/atom) = -7.671
- theoretical density (g/cm3) = 7.85
- space group = No. 14

abc: 5.7445 5.7475 9.9223
angles: 90.00 125.19 90.00
Fractional positions:
Sr 0.2439 0.0284 0.2495
Sr 0.2439 0.4716 0.7495
Sr 0.7561 0.5284 0.2505
Sr 0.7561 0.9716 0.7505
Lu 0.5000 0.0000 0.0000
Lu 0.5000 0.5000 0.5000
Re 0.0000 0.0000 0.5000
Re 0.0000 0.5000 0.0000
O 0.1685 0.2276 0.9636
O 0.1685 0.2724 0.4636
O 0.2342 0.7073 0.9639
O 0.2342 0.7927 0.4639
O 0.3078 0.0133 0.7385
O 0.3078 0.4867 0.2385
O 0.6922 0.5133 0.7615
O 0.6922 0.9867 0.2615
O 0.7658 0.2073 0.5361
O 0.7658 0.2927 0.0361
O 0.8315 0.7276 0.5364
O 0.8315 0.7724 0.0364

## Sr2LuReO6 (PBE-GGA)

Data for a relaxed Sr2LuReO6 crystal.

- offset from the most stable computed form (eV/atom) = 0.007
- raw total energy (eV/atom) = -7.664
- theoretical density (g/cm3) = 7.80
- space group = No. 14

abc: 5.7119 5.7161 10.0300
angles: 90.00 124.72 90.00
Fractional positions:
Sr 0.2495 0.0073 0.2500
Sr 0.2495 0.4927 0.7500
Sr 0.7505 0.5073 0.2500
Sr 0.7505 0.9927 0.7500
Lu 0.0000 0.0000 0.5000
Lu 0.0000 0.5000 0.0000
Re 0.5000 0.0000 0.0000
Re 0.5000 0.5000 0.5000
O 0.2179 0.6886 0.5059
O 0.2179 0.8114 0.0059
O 0.2474 0.0039 0.7599
O 0.2474 0.4961 0.2599
O 0.3180 0.2120 0.5065
O 0.3180 0.2880 0.0065
O 0.6820 0.7120 0.9935
O 0.6820 0.7880 0.4935
O 0.7526 0.5039 0.7401
O 0.7526 0.9961 0.2401
O 0.7821 0.1886 0.9941
O 0.7821 0.3114 0.4941

## Sr2LuReO6 (PBE-GGA)

Data for a relaxed Sr2LuReO6 crystal.

- offset from the most stable computed form (eV/atom) = 0.005
- raw total energy (eV/atom) = -7.667
- theoretical density (g/cm3) = 7.85
- space group = No. 87

abc: 5.7683 5.7683 5.7683
angles: 120.90 120.90 88.44
Fractional positions:
Sr 0.2500 0.7500 0.5000
Sr 0.7500 0.2500 0.5000
Lu 0.0000 0.0000 0.0000
Re 0.5000 0.5000 0.0000
O 0.2070 0.6832 0.8902
O 0.2597 0.2597 0.0000
O 0.3168 0.2070 0.5238
O 0.6832 0.7930 0.4762
O 0.7403 0.7403 0.0000
O 0.7930 0.3168 0.1098

## LuTlSeO (PBE-GGA)

Data for a relaxed LuTlSeO crystal.

- offset from the most stable computed form (eV/atom) = 0.000
- raw total energy (eV/atom) = -5.732
- theoretical density (g/cm3) = 8.01
- space group = No. 4

abc: 5.6053 5.6081 12.5160
angles: 90.00 92.18 90.00
Fractional positions:
Lu 0.0042 0.0000 0.0787
Lu 0.4940 0.0016 0.9205
Lu 0.5060 0.5016 0.0795
Lu 0.9958 0.5000 0.9213
Tl 0.1197 0.2732 0.4907
Tl 0.4953 0.5214 0.6434
Tl 0.5047 0.0214 0.3566
Tl 0.8803 0.7732 0.5093
Se 0.2015 0.3169 0.2420
Se 0.2066 0.2254 0.7534
Se 0.7934 0.7254 0.2466
Se 0.7985 0.8169 0.7580
O 0.2500 0.7496 0.0000
O 0.2529 0.2479 0.0003
O 0.7471 0.7479 0.9997
O 0.7500 0.2496 0.0000

## LuTlSeO (PBE-GGA)

Data for a relaxed LuTlSeO crystal.

- offset from the most stable computed form (eV/atom) = 0.100
- raw total energy (eV/atom) = -5.632
- theoretical density (g/cm3) = 6.73
- space group = No. 26

abc: 4.4058 8.1158 6.5455
angles: 90.00 90.00 90.00
Fractional positions:
Lu 0.0000 0.1216 0.0000
Lu 0.0000 0.8784 0.5000
Tl 0.5000 0.2960 0.5813
Tl 0.5000 0.7040 0.0813
Se 0.5000 0.3054 0.0785
Se 0.5000 0.6946 0.5785
O 0.0000 0.0776 0.6916
O 0.0000 0.9224 0.1916

## Lu2Si2O7 (PBE-GGA)

Data for a relaxed Lu2Si2O7 crystal.

- raw total energy (eV/atom) = -8.238
- theoretical density (g/cm3) = 6.32
- space group = No. 12

abc: 5.5521 5.5521 4.6908
angles: 97.46 97.46 105.47
Fractional positions:
Lu 0.1920 0.8080 0.0000
Lu 0.8080 0.1920 0.0000
Si 0.2790 0.2790 0.5918
Si 0.7210 0.7210 0.4082
O 0.1112 0.4168 0.7837
O 0.1122 0.1122 0.2831
O 0.4168 0.1112 0.7837
O 0.5000 0.5000 0.5000
O 0.5832 0.8888 0.2163
O 0.8878 0.8878 0.7169
O 0.8888 0.5832 0.2163

## Lu2Si2O5 (PBE-GGA)

Data for a relaxed Lu2Si2O5 crystal.

- offset from the most stable computed form (eV/atom) = 0.111
- raw total energy (eV/atom) = -6.965
- theoretical density (g/cm3) = 7.41
- space group = No. 123

abc: 3.4503 3.4503 9.1489
angles: 90.00 90.00 90.00
Fractional positions:
Lu 0.0000 0.0000 0.2448
Lu 0.0000 0.0000 0.7552
Si 0.5000 0.5000 0.0000
Si 0.5000 0.5000 0.5000
O 0.0000 0.0000 0.0000
O 0.0000 0.5000 0.3768
O 0.0000 0.5000 0.6232
O 0.5000 0.0000 0.3768
O 0.5000 0.0000 0.6232